{
  "formula": "K2ScSe",
  "functional": "PBE-GGA",
  "state": "relaxed",
  "e_form_raw_ev_per_atom": -0.5263,
  "density_g_cm3": 2.1,
  "cell": [[-0.603, -3.245, -1.931], [3.708, -0.139, -0.923], [1.996, -5.651, 8.873]],
  "species": ["K", "K", "Sc", "Se"],
  "frac_coords": [[0.000, 0.000, 0.946], [0.500, 0.500, 0.311], [0.000, 0.000, 0.600], [0.500, 0.500, 0.642]]
}

=====

{
  "formula": "KScSe2",
  "functional": "PBE-GGA",
  "state": "relaxed",
  "e_form_raw_ev_per_atom": -1.5344,
  "density_g_cm3": 3.5,
  "cell": [[7.607, 0.000, 0.000], [0.000, 4.564, 0.000], [0.000, 0.000, 13.329]],
  "species": ["Sc", "Sc", "Sc", "Sc", "Se", "Se", "Se", "Se", "Se", "Se", "Se", "Se", "K", "K", "K", "K"],
  "frac_coords": [[0.073, 0.250, 0.617], [0.427, 0.750, 0.117], [0.573, 0.250, 0.883], [0.927, 0.750, 0.383], [0.846, 0.250, 0.758], [0.154, 0.750, 0.242], [0.818, 0.250, 0.468], [0.318, 0.250, 0.032], [0.182, 0.750, 0.532], [0.654, 0.750, 0.258], [0.346, 0.250, 0.742], [0.682, 0.750, 0.968], [0.400, 0.250, 0.367], [0.600, 0.750, 0.633], [0.100, 0.750, 0.867], [0.900, 0.250, 0.133]]
}

=====

{
  "formula": "K2ScSe",
  "functional": "PBE-GGA",
  "state": "relaxed",
  "e_form_raw_ev_per_atom": 0.0489,
  "density_g_cm3": 2.3,
  "cell": [[-7.290, 9.164, -1.862], [-8.122, 7.068, -4.966], [-9.882, 6.345, -1.635]],
  "species": ["K", "K", "Se", "Sc"],
  "frac_coords": [[0.479, 0.479, 0.479], [0.021, 0.021, 0.021], [0.750, 0.750, 0.750], [0.250, 0.250, 0.250]]
}

=====

{
  "formula": "KScSe2",
  "functional": "PBE-GGA",
  "state": "relaxed",
  "e_form_raw_ev_per_atom": -0.7944,
  "density_g_cm3": 4.2,
  "cell": [[6.266, 0.000, 0.000], [3.507, 5.193, 0.000], [-4.887, -2.596, 2.940]],
  "species": ["Se", "Se", "Sc", "K"],
  "frac_coords": [[0.250, 0.750, 0.500], [0.000, 0.000, 0.000], [0.750, 0.250, 0.500], [0.500, 0.500, 0.000]]
}

=====

Copy entry 4 word for word.
{
  "formula": "KScSe2",
  "functional": "PBE-GGA",
  "state": "relaxed",
  "e_form_raw_ev_per_atom": -0.7944,
  "density_g_cm3": 4.2,
  "cell": [[6.266, 0.000, 0.000], [3.507, 5.193, 0.000], [-4.887, -2.596, 2.940]],
  "species": ["Se", "Se", "Sc", "K"],
  "frac_coords": [[0.250, 0.750, 0.500], [0.000, 0.000, 0.000], [0.750, 0.250, 0.500], [0.500, 0.500, 0.000]]
}